The following is a PBE-GGA calculation of a geometry-optimized Cs2Tb2US6 structure, from Alexandria via LeMat-Bulk.

Lattice parameters (Å, degrees): 7.027 7.027 8.590 98.02 98.02 119.98
Last column: magnetic moment on the atom in μB.
Sites, in units of the cell vectors:
Cs1 0.831 0.169 0.000  0.00
Cs2 0.169 0.831 0.000  0.00
Tb1 0.667 0.333 0.500  0.02
Tb2 0.333 0.667 0.500  0.02
S1 0.059 0.387 0.677  -0.02
S2 0.735 0.735 0.676  -0.03
S3 0.387 0.059 0.677  -0.02
S4 0.265 0.265 0.324  -0.03
S5 0.613 0.941 0.323  -0.02
S6 0.941 0.613 0.323  -0.02
U1 0.000 0.000 0.500  2.02

Summary:
ΔE_f (raw)   -40.164 kcal/mol of atoms
Magnetization   0.1818 μB per atom
Total energy   -6.02 eV/atom
DOS(E_F)   0.628 states/eV per atom